# 1
A relaxed Cd4GaPb crystal, computed with PBE.

energy above the lowest structure with this stoichiometry	0.0088	eV per atom
theoretical density	8.168	Mg/m³
energy relative to the elements	1.82	kcal/mol of atoms
size of the total moment	0.000	μB/atom

Unit cell a=5.7808 b=7.7844 c=7.9450 alpha=119.33 beta=106.14 gamma=90.00
Last column: nearest neighbours and their distance in Å.
Sites, in units of the cell vectors:
Cd  0.2600  0.6727  0.3455  2 Ga 2.92-2.94, 4 Cd 3.11-3.23, 2 Pb 3.21-3.23
Cd  0.4256  0.0726  0.7607  1 Ga 2.95, 5 Cd 2.99-3.23
Cd  0.0000  0.1911  0.0000  2 Ga 2.94, 3 Cd 2.98-3.20, 2 Pb 3.24
Cd  0.5744  0.3119  0.2393  1 Ga 2.95, 5 Cd 2.99-3.23
Cd  0.7400  0.3273  0.6545  2 Ga 2.92-2.94, 4 Cd 3.11-3.23, 2 Pb 3.21-3.23
Cd  0.5744  0.9274  0.2393  1 Ga 2.95, 5 Cd 2.99-3.23
Cd  0.0000  0.8089  0.0000  2 Ga 2.94, 3 Cd 2.98-3.20, 2 Pb 3.24
Cd  0.4256  0.6881  0.7607  1 Ga 2.95, 5 Cd 2.99-3.23
Ga  0.2481  0.4593  0.9187  1 Ga 2.77, 6 Cd 2.92-2.95
Ga  0.7519  0.5407  0.0813  1 Ga 2.77, 6 Cd 2.92-2.95
Pb  0.8443  0.7806  0.5611  1 Ga 3.19, 10 Cd 3.21-3.53
Pb  0.1557  0.2194  0.4389  1 Ga 3.19, 10 Cd 3.21-3.53


# 2
A relaxed SrHf2Zr crystal, computed with PBE.

energy above the lowest structure with this stoichiometry	0.0000	eV per atom
theoretical density	8.652	Mg/m³
energy relative to the elements	15.61	kcal/mol of atoms
size of the total moment	0.000	μB/atom

Unit cell a=5.2589 b=5.2589 c=5.2589 alpha=60.00 beta=60.00 gamma=60.00
Last column: nearest neighbours and their distance in Å.
Sites, in units of the cell vectors:
Sr  0.0000  0.0000  0.0000  8 Hf 3.22
Hf  0.2500  0.2500  0.2500  4 Zr 3.22, 4 Sr 3.22
Hf  0.7500  0.7500  0.7500  4 Zr 3.22, 4 Sr 3.22
Zr  0.5000  0.5000  0.5000  8 Hf 3.22


# 3
A relaxed VNiAs crystal, computed with PBE.

theoretical density	7.530	Mg/m³
energy relative to the elements	-2.08	kcal/mol of atoms
size of the total moment	0.000	μB/atom

Unit cell a=3.3289 b=3.3289 c=4.3621 alpha=112.43 beta=112.43 gamma=90.00
Last column: nearest neighbours and their distance in Å.
Sites, in units of the cell vectors:
Ni  0.9517  0.9517  0.9034  5 As 2.41-2.67, 5 V 2.45-2.65
As  0.2803  0.2803  0.5605  5 Ni 2.41-2.67, 5 V 2.48-2.64
V  0.6180  0.6180  0.2360  5 Ni 2.45-2.65, 5 As 2.48-2.64


Copy entry 2 word for word.
A relaxed SrHf2Zr crystal, computed with PBE.

energy above the lowest structure with this stoichiometry	0.0000	eV per atom
theoretical density	8.652	Mg/m³
energy relative to the elements	15.61	kcal/mol of atoms
size of the total moment	0.000	μB/atom

Unit cell a=5.2589 b=5.2589 c=5.2589 alpha=60.00 beta=60.00 gamma=60.00
Last column: nearest neighbours and their distance in Å.
Sites, in units of the cell vectors:
Sr  0.0000  0.0000  0.0000  8 Hf 3.22
Hf  0.2500  0.2500  0.2500  4 Zr 3.22, 4 Sr 3.22
Hf  0.7500  0.7500  0.7500  4 Zr 3.22, 4 Sr 3.22
Zr  0.5000  0.5000  0.5000  8 Hf 3.22


Number 2 is which compound? SrHf2Zr


Look up the theoretical density of the third one. 7.530 Mg/m³


What is the formula in the second record? SrHf2Zr